A plane-wave DFT calculation with PBE was carried out for crystalline HgAs2RhO at its relaxed geometry.

Values from the calculation:
Raw formation energy, meV/atom: 624
DFT total energy, Ry/atom: -0.276

Cell: 4.653 4.653 5.221 Å, 90.00 90.00 90.00°
Space group P4/mmm (No. 123)
Unique sites:
Hg 0.000 0.000 0.000 [1 per cell]
As 0.000 0.500 0.500 [2 per cell]
Rh 0.000 0.000 0.500 [1 per cell]
O 0.500 0.500 0.000 [1 per cell]

A plane-wave DFT calculation with PBE was carried out for crystalline HgAsRhO6 at its relaxed geometry.

Values from the calculation:
Raw formation energy, meV/atom: -724
DFT total energy, Ry/atom: -0.397

Cell: 5.1252 5.1252 4.9672 Å, 90.00 90.00 120.00°
Space group P312 (No. 149)
Unique sites:
Hg 0.0000 0.0000 0.0000 [1 per cell]
As 0.6667 0.3333 0.5000 [1 per cell]
Rh 0.3333 0.6667 0.5000 [1 per cell]
O 0.3813 0.0147 0.7119 [6 per cell]

A plane-wave DFT calculation with PBE was carried out for crystalline HgAs2RuO at its relaxed geometry.

Values from the calculation:
Raw formation energy, meV/atom: 452
DFT total energy, Ry/atom: -0.317

Cell: 4.511 4.511 4.120 Å, 90.00 90.00 90.00°
Space group P4/mmm (No. 123)
Unique sites:
Hg 0.000 0.000 0.000 [1 per cell]
As 0.000 0.500 0.500 [2 per cell]
Ru 0.500 0.500 0.000 [1 per cell]
O 0.500 0.500 0.500 [1 per cell]

A plane-wave DFT calculation with PBE was carried out for crystalline HgAsRuO6 at its relaxed geometry.

Values from the calculation:
Raw formation energy, meV/atom: -836
DFT total energy, Ry/atom: -0.421

Cell: 5.1250 5.1250 5.0108 Å, 90.00 90.00 120.00°
Space group P312 (No. 149)
Unique sites:
Hg 0.0000 0.0000 0.0000 [1 per cell]
As 0.6667 0.3333 0.5000 [1 per cell]
Ru 0.3333 0.6667 0.5000 [1 per cell]
O 0.3817 0.0136 0.7097 [6 per cell]

A plane-wave DFT calculation with PBE was carried out for crystalline HgSbAs2O8 at its relaxed geometry.

Values from the calculation:
Raw formation energy, meV/atom: -1043
DFT total energy, Ry/atom: -0.404

Cell: 8.769 5.732 7.779 Å, 90.00 97.59 90.00°
Space group C2/m (No. 12)
Unique sites:
Hg 0.000 0.000 0.000 [2 per cell]
Sb 0.000 0.000 0.500 [2 per cell]
As 0.166 0.500 0.715 [4 per cell]
O 0.046 0.254 0.697 [8 per cell]
O 0.230 0.000 0.458 [4 per cell]
O 0.237 0.000 0.078 [4 per cell]

A plane-wave DFT calculation with PBE was carried out for crystalline SiHgAsO6 at its relaxed geometry.

Values from the calculation:
Raw formation energy, meV/atom: -1298
DFT total energy, Ry/atom: -0.423

Cell: 4.8937 4.8937 4.8178 Å, 90.00 90.00 120.00°
Space group P312 (No. 149)
Unique sites:
Si 0.0000 0.0000 0.0000 [1 per cell]
Hg 0.3333 0.6667 0.5000 [1 per cell]
As 0.6667 0.3333 0.0000 [1 per cell]
O 0.3248 0.0414 0.2060 [6 per cell]